1.
! LiIrPb2, relaxed, DFT PBE-GGA; values from VASP
! Polymorph energy (0 for the lowest one) (eV per atom): 0.222
! DOS at the Fermi energy (states/eV/atom): 0.73
&SYSTEM
  ibrav = 0, nat = 4, ntyp = 3
/
ATOMIC_SPECIES
Pb 207.20 Pb.upf
Li 6.94 Li.upf
Ir 192.22 Ir.upf
ATOMIC_POSITIONS crystal
Pb 0.012 0.012 0.012
Li 0.765 0.765 0.765
Ir 0.493 0.493 0.493
Pb 0.231 0.231 0.231
CELL_PARAMETERS angstrom
-2.875 3.373 9.158
0.076 2.270 9.917
-0.276 5.256 8.707

2.
! LiIr2Pb2, relaxed, DFT PBE-GGA; values from VASP
! Polymorph energy (0 for the lowest one) (eV per atom): 0.000
! DOS at the Fermi energy (states/eV/atom): 0.42
&SYSTEM
  ibrav = 0, nat = 10, ntyp = 3
/
ATOMIC_SPECIES
Ir 192.22 Ir.upf
Li 6.94 Li.upf
Pb 207.20 Pb.upf
ATOMIC_POSITIONS crystal
Ir 0.367 0.867 0.000
Li 0.000 0.000 0.000
Ir 0.133 0.367 0.000
Ir 0.633 0.133 0.000
Ir 0.867 0.633 0.000
Pb 0.833 0.333 0.500
Li 0.500 0.500 0.000
Pb 0.167 0.667 0.500
Pb 0.333 0.167 0.500
Pb 0.667 0.833 0.500
CELL_PARAMETERS angstrom
-3.425 -5.092 4.024
0.871 -4.869 -5.420
3.221 -1.028 1.441

3.
! LiIr2Pb, relaxed, DFT PBE-GGA; values from VASP
! Uncorrected energy (Ha/atom): -0.20410
! DOS at the Fermi energy (states/eV/atom): 1.09
&SYSTEM
  ibrav = 0, nat = 4, ntyp = 3
/
ATOMIC_SPECIES
Pb 207.20 Pb.upf
Ir 192.22 Ir.upf
Li 6.94 Li.upf
ATOMIC_POSITIONS crystal
Pb 0.500 0.500 0.746
Ir 0.000 0.000 0.046
Ir 0.500 0.500 0.240
Li 0.000 0.000 0.468
CELL_PARAMETERS angstrom
-1.933 2.212 -1.641
0.734 -1.519 -2.911
-4.796 -3.669 0.705

4.
! LiIr2Pb, relaxed, DFT PBE-GGA; values from VASP
! Uncorrected energy (Ha/atom): -0.20821
! DOS at the Fermi energy (states/eV/atom): 0.62
&SYSTEM
  ibrav = 0, nat = 4, ntyp = 3
/
ATOMIC_SPECIES
Ir 192.22 Ir.upf
Pb 207.20 Pb.upf
Li 6.94 Li.upf
ATOMIC_POSITIONS crystal
Ir 0.509 0.509 0.471
Pb 0.750 0.750 0.750
Li 0.250 0.250 0.250
Ir 0.991 0.991 0.029
CELL_PARAMETERS angstrom
4.826 0.014 -0.007
3.920 2.815 -0.007
0.781 0.253 4.846

5.
! LiIrPb2, relaxed, DFT PBE-GGA; values from VASP
! Polymorph energy (0 for the lowest one) (eV per atom): 0.122
! DOS at the Fermi energy (states/eV/atom): 0.35
&SYSTEM
  ibrav = 0, nat = 4, ntyp = 3
/
ATOMIC_SPECIES
Li 6.94 Li.upf
Ir 192.22 Ir.upf
Pb 207.20 Pb.upf
ATOMIC_POSITIONS crystal
Li 0.750 0.750 0.750
Ir 0.250 0.250 0.250
Pb 0.991 0.991 0.991
Pb 0.509 0.509 0.509
CELL_PARAMETERS angstrom
-0.297 2.032 -7.719
1.482 -1.305 -7.740
-2.293 -1.176 -7.560

6.
! LiIrPb, relaxed, DFT PBE-GGA; values from VASP
! Uncorrected energy (Ha/atom): -0.16569
! DOS at the Fermi energy (states/eV/atom): 0.60
&SYSTEM
  ibrav = 0, nat = 3, ntyp = 3
/
ATOMIC_SPECIES
Li 6.94 Li.upf
Pb 207.20 Pb.upf
Ir 192.22 Ir.upf
ATOMIC_POSITIONS crystal
Li 0.649 0.649 0.351
Pb 0.342 0.342 0.658
Ir 0.009 0.009 0.991
CELL_PARAMETERS angstrom
-5.243 4.939 -1.364
-6.545 2.216 -1.514
-0.519 1.463 2.592

7.
! Li4IrPb, relaxed, DFT PBE-GGA; values from VASP
! Uncorrected energy (Ha/atom): -0.12516
! DOS at the Fermi energy (states/eV/atom): 0.49
&SYSTEM
  ibrav = 0, nat = 6, ntyp = 3
/
ATOMIC_SPECIES
Li 6.94 Li.upf
Pb 207.20 Pb.upf
Ir 192.22 Ir.upf
ATOMIC_POSITIONS crystal
Li 0.372 0.372 0.372
Li 0.372 0.884 0.372
Li 0.884 0.372 0.372
Li 0.372 0.372 0.884
Pb 0.750 0.750 0.750
Ir 0.000 0.000 0.000
CELL_PARAMETERS angstrom
0.377 -0.627 4.922
-3.965 -1.451 2.635
-0.156 -4.578 1.944

8.
! LiIrPb2, relaxed, DFT PBE-GGA; values from VASP
! Polymorph energy (0 for the lowest one) (eV per atom): 0.092
! DOS at the Fermi energy (states/eV/atom): 0.38
&SYSTEM
  ibrav = 0, nat = 4, ntyp = 3
/
ATOMIC_SPECIES
Li 6.94 Li.upf
Ir 192.22 Ir.upf
Pb 207.20 Pb.upf
ATOMIC_POSITIONS crystal
Li 0.236 0.236 0.282
Ir 0.504 0.504 0.468
Pb 0.766 0.766 0.681
Pb 0.994 0.994 0.069
CELL_PARAMETERS angstrom
4.947 -0.028 0.045
3.827 3.134 0.045
0.851 0.301 5.611

9.
! LiIrPb, relaxed, DFT PBE-GGA; values from VASP
! Uncorrected energy (Ha/atom): -0.17385
! DOS at the Fermi energy (states/eV/atom): 0.18
&SYSTEM
  ibrav = 0, nat = 3, ntyp = 3
/
ATOMIC_SPECIES
Ir 192.22 Ir.upf
Pb 207.20 Pb.upf
Li 6.94 Li.upf
ATOMIC_POSITIONS crystal
Ir 0.000 0.000 0.987
Pb 0.333 0.667 0.690
Li 0.667 0.333 0.323
CELL_PARAMETERS angstrom
-2.632 3.194 1.793
-1.714 -2.930 -2.970
-0.730 -1.877 2.272

10.
! LiIr2Pb, relaxed, DFT PBE-GGA; values from VASP
! Uncorrected energy (Ha/atom): -0.19489
! DOS at the Fermi energy (states/eV/atom): 1.50
&SYSTEM
  ibrav = 0, nat = 4, ntyp = 3
/
ATOMIC_SPECIES
Ir 192.22 Ir.upf
Pb 207.20 Pb.upf
Li 6.94 Li.upf
ATOMIC_POSITIONS crystal
Ir 0.000 0.000 0.475
Pb 0.500 0.500 0.750
Ir 0.000 0.000 0.025
Li 0.500 0.500 0.250
CELL_PARAMETERS angstrom
-0.684 2.747 -0.353
-1.268 -1.922 -1.684
-7.123 -0.946 6.442

11.
! Li2IrPb, relaxed, DFT PBE-GGA; values from VASP
! Uncorrected energy (Ha/atom): -0.15192
! DOS at the Fermi energy (states/eV/atom): 0.34
&SYSTEM
  ibrav = 0, nat = 4, ntyp = 3
/
ATOMIC_SPECIES
Ir 192.22 Ir.upf
Li 6.94 Li.upf
Pb 207.20 Pb.upf
ATOMIC_POSITIONS crystal
Ir 0.500 0.722 0.778
Li 0.000 0.016 0.984
Li 0.500 0.280 0.220
Pb 0.000 0.482 0.518
CELL_PARAMETERS angstrom
-3.207 -0.319 0.988
0.948 -2.085 2.405
1.653 2.635 6.219

12.
! LiIr2Pb, relaxed, DFT PBE-GGA; values from VASP
! Uncorrected energy (Ha/atom): -0.20726
! DOS at the Fermi energy (states/eV/atom): 0.47
&SYSTEM
  ibrav = 0, nat = 4, ntyp = 3
/
ATOMIC_SPECIES
Ir 192.22 Ir.upf
Pb 207.20 Pb.upf
Li 6.94 Li.upf
ATOMIC_POSITIONS crystal
Ir 0.000 0.093 0.038
Ir 0.000 0.407 0.462
Pb 0.500 0.750 0.750
Li 0.500 0.250 0.250
CELL_PARAMETERS angstrom
-2.874 -0.704 -3.067
2.157 -0.400 -1.929
1.104 -5.312 0.184

13.
! LiIr2Pb, relaxed, DFT PBE-GGA; values from VASP
! Uncorrected energy (Ha/atom): -0.20631
! DOS at the Fermi energy (states/eV/atom): 1.04
&SYSTEM
  ibrav = 0, nat = 4, ntyp = 3
/
ATOMIC_SPECIES
Ir 192.22 Ir.upf
Pb 207.20 Pb.upf
Li 6.94 Li.upf
ATOMIC_POSITIONS crystal
Ir 0.000 0.000 0.041
Pb 0.500 0.500 0.775
Ir 0.500 0.500 0.236
Li 0.000 0.000 0.448
CELL_PARAMETERS angstrom
-0.653 2.727 1.000
-1.429 -1.194 2.322
7.029 0.081 4.366

14.
! Li2IrPb, relaxed, DFT PBE-GGA; values from VASP
! Uncorrected energy (Ha/atom): -0.15152
! DOS at the Fermi energy (states/eV/atom): 0.43
&SYSTEM
  ibrav = 0, nat = 4, ntyp = 3
/
ATOMIC_SPECIES
Ir 192.22 Ir.upf
Li 6.94 Li.upf
Pb 207.20 Pb.upf
ATOMIC_POSITIONS crystal
Ir 0.500 0.750 0.750
Li 0.000 0.511 0.541
Pb 0.500 0.250 0.250
Li 0.000 0.989 0.959
CELL_PARAMETERS angstrom
-1.009 4.092 -0.212
-1.946 -0.597 -2.266
-5.198 -1.177 2.027

15.
! LiIr2Pb, relaxed, DFT PBE-GGA; values from VASP
! Uncorrected energy (Ha/atom): -0.20837
! DOS at the Fermi energy (states/eV/atom): 0.67
&SYSTEM
  ibrav = 0, nat = 4, ntyp = 3
/
ATOMIC_SPECIES
Li 6.94 Li.upf
Pb 207.20 Pb.upf
Ir 192.22 Ir.upf
ATOMIC_POSITIONS crystal
Li 0.500 0.500 0.000
Pb 0.500 0.000 0.500
Ir 0.000 0.000 0.000
Ir 0.000 0.500 0.500
CELL_PARAMETERS angstrom
3.970 0.000 0.000
0.000 4.036 0.000
0.000 0.000 4.036

16.
! LiIrPb2, relaxed, DFT PBE-GGA; values from VASP
! Polymorph energy (0 for the lowest one) (eV per atom): 0.036
! DOS at the Fermi energy (states/eV/atom): 0.55
&SYSTEM
  ibrav = 0, nat = 4, ntyp = 3
/
ATOMIC_SPECIES
Pb 207.20 Pb.upf
Li 6.94 Li.upf
Ir 192.22 Ir.upf
ATOMIC_POSITIONS crystal
Pb 0.000 0.981 0.909
Pb 0.500 0.275 0.330
Li 0.500 0.553 0.768
Ir 0.000 0.692 0.493
CELL_PARAMETERS angstrom
4.435 0.000 0.000
0.000 3.751 0.001
0.000 1.896 5.027

17.
! LiIr2Pb, relaxed, DFT PBE-GGA; values from VASP
! Uncorrected energy (Ha/atom): -0.20169
! DOS at the Fermi energy (states/eV/atom): 0.90
&SYSTEM
  ibrav = 0, nat = 4, ntyp = 3
/
ATOMIC_SPECIES
Pb 207.20 Pb.upf
Ir 192.22 Ir.upf
Li 6.94 Li.upf
ATOMIC_POSITIONS crystal
Pb 0.747 0.747 0.747
Ir 0.252 0.252 0.252
Li 0.510 0.510 0.510
Ir 0.992 0.992 0.992
CELL_PARAMETERS angstrom
9.350 -0.002 -0.001
8.877 2.938 -0.001
8.877 1.430 2.566

18.
! LiIrPb4, relaxed, DFT PBE-GGA; values from VASP
! Uncorrected energy (Ha/atom): -0.13225
! DOS at the Fermi energy (states/eV/atom): 0.29
&SYSTEM
  ibrav = 0, nat = 6, ntyp = 3
/
ATOMIC_SPECIES
Pb 207.20 Pb.upf
Li 6.94 Li.upf
Ir 192.22 Ir.upf
ATOMIC_POSITIONS crystal
Pb 0.376 0.376 0.376
Pb 0.376 0.376 0.872
Li 0.000 0.000 0.000
Pb 0.376 0.872 0.376
Ir 0.750 0.750 0.750
Pb 0.872 0.376 0.376
CELL_PARAMETERS angstrom
0.000 4.405 4.405
4.405 0.000 4.405
4.405 4.405 0.000

19.
! Li2IrPb, relaxed, DFT PBE-GGA; values from VASP
! Uncorrected energy (Ha/atom): -0.15125
! DOS at the Fermi energy (states/eV/atom): 0.54
&SYSTEM
  ibrav = 0, nat = 4, ntyp = 3
/
ATOMIC_SPECIES
Pb 207.20 Pb.upf
Ir 192.22 Ir.upf
Li 6.94 Li.upf
ATOMIC_POSITIONS crystal
Pb 0.500 0.500 0.250
Ir 0.500 0.500 0.750
Li 0.000 0.000 0.955
Li 0.000 0.000 0.545
CELL_PARAMETERS angstrom
3.350 0.000 0.000
0.000 3.350 0.000
0.000 0.000 5.719

20.
! LiIrPb, relaxed, DFT PBE-GGA; values from VASP
! Uncorrected energy (Ha/atom): -0.17437
! DOS at the Fermi energy (states/eV/atom): 0.28
&SYSTEM
  ibrav = 0, nat = 3, ntyp = 3
/
ATOMIC_SPECIES
Pb 207.20 Pb.upf
Ir 192.22 Ir.upf
Li 6.94 Li.upf
ATOMIC_POSITIONS crystal
Pb 0.500 0.500 0.500
Ir 0.750 0.750 0.750
Li 0.000 0.000 0.000
CELL_PARAMETERS angstrom
4.454 0.000 0.000
2.227 3.858 0.000
2.227 1.286 3.637